1.
# LuPuThTl

Crystalline LuPuThTl at its relaxed geometry (PBE, the Alexandria database).

It has space group F-43m (No. 216), with a = 7.6222 Å, b = 7.6222 Å, c = 7.6222 Å, α = 90.00°, β = 90.00° and γ = 90.00°. Symmetry generates all atoms from Lu at (0.0000, 0.0000, 0.0000), Pu at (0.0000, 0.0000, 0.5000), Th at (0.2500, 0.2500, 0.2500) and Tl at (0.2500, 0.2500, 0.7500).

The formation energy comes out at 0.1594 eV per atom.



2.
# YLuPuTh

Crystalline YLuPuTh at its relaxed geometry (PBE, the Alexandria database).

It has space group F-43m (No. 216), with a = 7.8473 Å, b = 7.8473 Å, c = 7.8473 Å, α = 90.00°, β = 90.00° and γ = 90.00°. Symmetry generates all atoms from Y at (0.0000, 0.0000, 0.0000), Lu at (0.2500, 0.2500, 0.2500), Pu at (0.2500, 0.2500, 0.7500) and Th at (0.0000, 0.0000, 0.5000).

The formation energy comes out at 0.1982 eV per atom.



3.
# LuPuThZr

Crystalline LuPuThZr at its relaxed geometry (PBE, the Alexandria database).

It has space group F-43m (No. 216), with a = 7.5742 Å, b = 7.5742 Å, c = 7.5742 Å, α = 90.00°, β = 90.00° and γ = 90.00°. Symmetry generates all atoms from Lu at (0.0000, 0.0000, 0.0000), Pu at (0.2500, 0.2500, 0.2500), Th at (0.0000, 0.0000, 0.5000) and Zr at (0.2500, 0.2500, 0.7500).

The formation energy comes out at 0.2064 eV per atom.



4.
# LuPuTi2

Crystalline LuPuTi2 at its relaxed geometry (PBE, the Alexandria database).

It has space group P4/mmm (No. 123), with a = 3.5510 Å, b = 3.5510 Å, c = 6.7979 Å, α = 90.00°, β = 90.00° and γ = 90.00°. Symmetry generates all atoms from Lu at (0.0000, 0.0000, 0.0000), Pu at (0.0000, 0.0000, 0.5000) and Ti at (0.5000, 0.5000, 0.2927).

The formation energy comes out at 0.1585 eV per atom. The value obtained for the energy relative to the lowest polymorph listed for this composition is 0 meV/atom.



5.
# LuPuTi2

Crystalline LuPuTi2 at its relaxed geometry (PBE, the Alexandria database).

It has space group P4/mmm (No. 123), with a = 5.1084 Å, b = 5.1084 Å, c = 3.2800 Å, α = 90.00°, β = 90.00° and γ = 90.00°. Symmetry generates all atoms from Lu at (0.0000, 0.0000, 0.0000), Pu at (0.5000, 0.5000, 0.0000) and Ti at (0.0000, 0.5000, 0.5000).

The formation energy comes out at 0.2290 eV per atom. The value obtained for the energy relative to the lowest polymorph listed for this composition is 70 meV/atom.



6.
# LuPu2Ti

Crystalline LuPu2Ti at its relaxed geometry (PBE, the Alexandria database).

It has space group P4/mmm (No. 123), with a = 3.2012 Å, b = 3.2012 Å, c = 9.2999 Å, α = 90.00°, β = 90.00° and γ = 90.00°. Symmetry generates all atoms from Lu at (0.0000, 0.0000, 0.0000), Pu at (0.5000, 0.5000, 0.2755) and Ti at (0.0000, 0.0000, 0.5000).

The formation energy comes out at 0.1805 eV per atom. The value obtained for the energy relative to the lowest polymorph listed for this composition is 0 meV/atom.



7.
# LuPu2Ti

Crystalline LuPu2Ti at its relaxed geometry (PBE, the Alexandria database).

It has space group P4/mmm (No. 123), with a = 4.4776 Å, b = 4.4776 Å, c = 4.7034 Å, α = 90.00°, β = 90.00° and γ = 90.00°. Symmetry generates all atoms from Lu at (0.0000, 0.0000, 0.0000), Pu at (0.0000, 0.5000, 0.5000) and Ti at (0.5000, 0.5000, 0.0000).

The formation energy comes out at 0.2202 eV per atom. The value obtained for the energy relative to the lowest polymorph listed for this composition is 40 meV/atom.



8.
# LuPu2Ti

Crystalline LuPu2Ti at its relaxed geometry (PBE, the Alexandria database).

It has space group R-3m (No. 166, hexagonal axes), with a = 3.2560 Å, b = 3.2560 Å, c = 31.3662 Å, α = 90.00°, β = 90.00° and γ = 120.00°. Symmetry generates all atoms from Lu at (0.0000, 0.0000, 0.0000), Pu at (0.0000, 0.0000, 0.2430) and Ti at (0.0000, 0.0000, 0.5000).

The formation energy comes out at 0.2158 eV per atom. The value obtained for the energy relative to the lowest polymorph listed for this composition is 35 meV/atom.



9.
# LuPuTi

Crystalline LuPuTi at its relaxed geometry (PBE, the Alexandria database).

It has space group P-6m2 (No. 187), with a = 5.0353 Å, b = 5.0353 Å, c = 3.1361 Å, α = 90.00°, β = 90.00° and γ = 120.00°. Symmetry generates all atoms from Lu at (0.0000, 0.0000, 0.0000), Pu at (0.3333, 0.6667, 0.5000) and Ti at (0.6667, 0.3333, 0.5000).

The formation energy comes out at 0.1909 eV per atom.



10.
# LuPuTl2

Crystalline LuPuTl2 at its relaxed geometry (PBE, the Alexandria database).

It has space group P4/mmm (No. 123), with a = 3.3742 Å, b = 3.3742 Å, c = 9.2874 Å, α = 90.00°, β = 90.00° and γ = 90.00°. Symmetry generates all atoms from Lu at (0.0000, 0.0000, 0.0000), Pu at (0.0000, 0.0000, 0.5000) and Tl at (0.5000, 0.5000, 0.2424).

The formation energy comes out at -0.1386 eV per atom. The value obtained for the energy relative to the lowest polymorph listed for this composition is 0 meV/atom.



11.
# LuPu2Tl

Crystalline LuPu2Tl at its relaxed geometry (PBE, the Alexandria database).

It has space group P4/mmm (No. 123), with a = 4.5044 Å, b = 4.5044 Å, c = 5.1635 Å, α = 90.00°, β = 90.00° and γ = 90.00°. Symmetry generates all atoms from Lu at (0.0000, 0.0000, 0.0000), Pu at (0.0000, 0.5000, 0.5000) and Tl at (0.5000, 0.5000, 0.0000).

The formation energy comes out at -0.0373 eV per atom. The value obtained for the energy relative to the lowest polymorph listed for this composition is 0 meV/atom.



12.
# LuPu2Tl

Crystalline LuPu2Tl at its relaxed geometry (PBE, the Alexandria database).

It has space group Fm-3m (No. 225), with a = 7.6112 Å, b = 7.6112 Å, c = 7.6112 Å, α = 90.00°, β = 90.00° and γ = 90.00°. Symmetry generates all atoms from Lu at (0.0000, 0.0000, 0.0000), Pu at (0.2500, 0.2500, 0.2500) and Tl at (0.0000, 0.0000, 0.5000).

The formation energy comes out at 0.1689 eV per atom. The value obtained for the energy relative to the lowest polymorph listed for this composition is 206 meV/atom.



13.
# LuPuTl2

Crystalline LuPuTl2 at its relaxed geometry (PBE, the Alexandria database).

It has space group Fm-3m (No. 225), with a = 7.5752 Å, b = 7.5752 Å, c = 7.5752 Å, α = 90.00°, β = 90.00° and γ = 90.00°. Symmetry generates all atoms from Lu at (0.0000, 0.0000, 0.0000), Pu at (0.0000, 0.0000, 0.5000) and Tl at (0.2500, 0.2500, 0.2500).

The formation energy comes out at -0.1170 eV per atom. The value obtained for the energy relative to the lowest polymorph listed for this composition is 22 meV/atom.



14.
# LuPuTl

Crystalline LuPuTl at its relaxed geometry (PBE, the Alexandria database).

It has space group P3m1 (No. 156), with a = 5.2863 Å, b = 5.2863 Å, c = 3.4281 Å, α = 90.00°, β = 90.00° and γ = 120.00°. Symmetry generates all atoms from Lu at (0.0000, 0.0000, 0.0000), Pu at (0.6667, 0.3333, 0.5539) and Tl at (0.3333, 0.6667, 0.1878).

The formation energy comes out at 0.0148 eV per atom. The value obtained for the energy relative to the lowest polymorph listed for this composition is 35 meV/atom.



15.
# LuPuTl2

Crystalline LuPuTl2 at its relaxed geometry (PBE, the Alexandria database).

It has space group P4/mmm (No. 123), with a = 4.9295 Å, b = 4.9295 Å, c = 4.4343 Å, α = 90.00°, β = 90.00° and γ = 90.00°. Symmetry generates all atoms from Lu at (0.0000, 0.0000, 0.0000), Pu at (0.5000, 0.5000, 0.0000) and Tl at (0.0000, 0.5000, 0.5000).

The formation energy comes out at -0.1016 eV per atom. The value obtained for the energy relative to the lowest polymorph listed for this composition is 37 meV/atom.



16.
# LuPuTl

Crystalline LuPuTl at its relaxed geometry (PBE, the Alexandria database).

It has space group I4mm (No. 107), with a = 3.4123 Å, b = 3.4123 Å, c = 14.2389 Å, α = 90.00°, β = 90.00° and γ = 90.00°. Symmetry generates all atoms from Lu at (0.0000, 0.0000, 0.0000), Pu at (0.0000, 0.0000, 0.6791) and Tl at (0.0000, 0.0000, 0.3435).

The formation energy comes out at -0.0204 eV per atom. The value obtained for the energy relative to the lowest polymorph listed for this composition is 0 meV/atom.



17.
# YLuPuTl

Crystalline YLuPuTl at its relaxed geometry (PBE, the Alexandria database).

It has space group F-43m (No. 216), with a = 7.6685 Å, b = 7.6685 Å, c = 7.6685 Å, α = 90.00°, β = 90.00° and γ = 90.00°. Symmetry generates all atoms from Y at (0.0000, 0.0000, 0.0000), Lu at (0.2500, 0.2500, 0.2500), Pu at (0.0000, 0.0000, 0.5000) and Tl at (0.2500, 0.2500, 0.7500).

The formation energy comes out at 0.0448 eV per atom.



18.
# LuPuTlZn

Crystalline LuPuTlZn at its relaxed geometry (PBE, the Alexandria database).

It has space group F-43m (No. 216), with a = 7.3609 Å, b = 7.3609 Å, c = 7.3609 Å, α = 90.00°, β = 90.00° and γ = 90.00°. Symmetry generates all atoms from Lu at (0.0000, 0.0000, 0.0000), Pu at (0.0000, 0.0000, 0.5000), Tl at (0.2500, 0.2500, 0.2500) and Zn at (0.2500, 0.2500, 0.7500).

The formation energy comes out at -0.1217 eV per atom.



19.
# TmLuPu4

Crystalline TmLuPu4 at its relaxed geometry (PBE, the Alexandria database).

It has space group F-43m (No. 216), with a = 8.6660 Å, b = 8.6660 Å, c = 8.6660 Å, α = 90.00°, β = 90.00° and γ = 90.00°. Symmetry generates all atoms from Tm at (0.0000, 0.0000, 0.0000), Lu at (0.2500, 0.2500, 0.2500) and Pu at (0.1250, 0.1250, 0.6250).

The formation energy comes out at 0.2275 eV per atom.



20.
# TmLu2Pu

Crystalline TmLu2Pu at its relaxed geometry (PBE, the Alexandria database).

It has space group P4/mmm (No. 123), with a = 4.8803 Å, b = 4.8803 Å, c = 4.8751 Å, α = 90.00°, β = 90.00° and γ = 90.00°. Symmetry generates all atoms from Tm at (0.0000, 0.0000, 0.0000), Lu at (0.0000, 0.5000, 0.5000) and Pu at (0.5000, 0.5000, 0.0000).

The formation energy comes out at 0.1306 eV per atom. The value obtained for the energy relative to the lowest polymorph listed for this composition is 40 meV/atom.



21.
# TmLu2Pu

Crystalline TmLu2Pu at its relaxed geometry (PBE, the Alexandria database).

It has space group Fm-3m (No. 225), with a = 7.7530 Å, b = 7.7530 Å, c = 7.7530 Å, α = 90.00°, β = 90.00° and γ = 90.00°. Symmetry generates all atoms from Tm at (0.0000, 0.0000, 0.0000), Lu at (0.2500, 0.2500, 0.2500) and Pu at (0.0000, 0.0000, 0.5000).

The formation energy comes out at 0.1601 eV per atom. The value obtained for the energy relative to the lowest polymorph listed for this composition is 70 meV/atom.



22.
# TmLuPu

Crystalline TmLuPu at its relaxed geometry (PBE, the Alexandria database).

It has space group P-6m2 (No. 187), with a = 5.4953 Å, b = 5.4953 Å, c = 3.2647 Å, α = 90.00°, β = 90.00° and γ = 120.00°. Symmetry generates all atoms from Tm at (0.0000, 0.0000, 0.0000), Lu at (0.3333, 0.6667, 0.5000) and Pu at (0.6667, 0.3333, 0.5000).

The formation energy comes out at 0.1624 eV per atom. The value obtained for the energy relative to the lowest polymorph listed for this composition is 64 meV/atom.



23.
# Tm2LuPu

Crystalline Tm2LuPu at its relaxed geometry (PBE, the Alexandria database).

It has space group P4/mmm (No. 123), with a = 4.8950 Å, b = 4.8950 Å, c = 4.8762 Å, α = 90.00°, β = 90.00° and γ = 90.00°. Symmetry generates all atoms from Tm at (0.0000, 0.5000, 0.0000), Lu at (0.0000, 0.0000, 0.5000) and Pu at (0.5000, 0.5000, 0.5000).

The formation energy comes out at 0.1308 eV per atom. The value obtained for the energy relative to the lowest polymorph listed for this composition is 39 meV/atom.



24.
# Tm2LuPu

Crystalline Tm2LuPu at its relaxed geometry (PBE, the Alexandria database).

It has space group Fm-3m (No. 225), with a = 7.7697 Å, b = 7.7697 Å, c = 7.7697 Å, α = 90.00°, β = 90.00° and γ = 90.00°. Symmetry generates all atoms from Tm at (0.2500, 0.2500, 0.2500), Lu at (0.0000, 0.0000, 0.0000) and Pu at (0.0000, 0.0000, 0.5000).

The formation energy comes out at 0.1698 eV per atom. The value obtained for the energy relative to the lowest polymorph listed for this composition is 78 meV/atom.



25.
# Tm2LuPu

Crystalline Tm2LuPu at its relaxed geometry (PBE, the Alexandria database).

It has space group P4/mmm (No. 123), with a = 3.4344 Å, b = 3.4344 Å, c = 9.8825 Å, α = 90.00°, β = 90.00° and γ = 90.00°. Symmetry generates all atoms from Tm at (0.0000, 0.0000, 0.2474), Lu at (0.5000, 0.5000, 0.5000) and Pu at (0.5000, 0.5000, 0.0000).

The formation energy comes out at 0.0916 eV per atom. The value obtained for the energy relative to the lowest polymorph listed for this composition is 0 meV/atom.



26.
# TmLu2Pu

Crystalline TmLu2Pu at its relaxed geometry (PBE, the Alexandria database).

It has space group P4/mmm (No. 123), with a = 3.4332 Å, b = 3.4332 Å, c = 9.8251 Å, α = 90.00°, β = 90.00° and γ = 90.00°. Symmetry generates all atoms from Tm at (0.0000, 0.0000, 0.0000), Lu at (0.5000, 0.5000, 0.2539) and Pu at (0.0000, 0.0000, 0.5000).

The formation energy comes out at 0.0903 eV per atom. The value obtained for the energy relative to the lowest polymorph listed for this composition is 0 meV/atom.



27.
# TmLuPu

Crystalline TmLuPu at its relaxed geometry (PBE, the Alexandria database).

It has space group I4mm (No. 107), with a = 3.4396 Å, b = 3.4396 Å, c = 14.5944 Å, α = 90.00°, β = 90.00° and γ = 90.00°. Symmetry generates all atoms from Tm at (0.0000, 0.0000, 0.0000), Lu at (0.0000, 0.0000, 0.3294) and Pu at (0.0000, 0.0000, 0.6651).

The formation energy comes out at 0.0986 eV per atom. The value obtained for the energy relative to the lowest polymorph listed for this composition is 0 meV/atom.



28.
# LuPuV4

Crystalline LuPuV4 at its relaxed geometry (PBE, the Alexandria database).

It has space group F-43m (No. 216), with a = 7.4670 Å, b = 7.4670 Å, c = 7.4670 Å, α = 90.00°, β = 90.00° and γ = 90.00°. Symmetry generates all atoms from Lu at (0.0000, 0.0000, 0.0000), Pu at (0.2500, 0.2500, 0.2500) and V at (0.1226, 0.1226, 0.6226).

The formation energy comes out at 0.2971 eV per atom.



29.
# LuPu2V

Crystalline LuPu2V at its relaxed geometry (PBE, the Alexandria database).

It has space group R-3m (No. 166, hexagonal axes), with a = 3.2675 Å, b = 3.2675 Å, c = 29.9795 Å, α = 90.00°, β = 90.00° and γ = 120.00°. Symmetry generates all atoms from Lu at (0.0000, 0.0000, 0.0000), Pu at (0.0000, 0.0000, 0.2388) and V at (0.0000, 0.0000, 0.5000).

The formation energy comes out at 0.3689 eV per atom.



30.
# LuPuW4

Crystalline LuPuW4 at its relaxed geometry (PBE, the Alexandria database).

It has space group F-43m (No. 216), with a = 7.7770 Å, b = 7.7770 Å, c = 7.7770 Å, α = 90.00°, β = 90.00° and γ = 90.00°. Symmetry generates all atoms from Lu at (0.0000, 0.0000, 0.0000), Pu at (0.2500, 0.2500, 0.2500) and W at (0.1248, 0.1248, 0.6248).

The formation energy comes out at 0.2600 eV per atom.



31.
# YLuPu

Crystalline YLuPu at its relaxed geometry (PBE, the Alexandria database).

It has space group I4mm (No. 107), with a = 3.4764 Å, b = 3.4764 Å, c = 14.6966 Å, α = 90.00°, β = 90.00° and γ = 90.00°. Symmetry generates all atoms from Y at (0.0000, 0.0000, 0.0000), Lu at (0.0000, 0.0000, 0.6715) and Pu at (0.0000, 0.0000, 0.3326).

The formation energy comes out at 0.1116 eV per atom. The value obtained for the energy relative to the lowest polymorph listed for this composition is 0 meV/atom.